[1]
A geometry-optimized Zn4CuAg structure, computed with GGA-PBE. Values from VASP.

Energy of formation from the pure elements   -0.024 eV per atom
Symmetry   P4/mmm, No. 123
N(E_F)   1.6 states/eV per cell
DFT total energy   -2.031 eV per atom

```
&SYSTEM
  ibrav = 0, nat = 6, ntyp = 3
/
ATOMIC_SPECIES
Zn 65.41 Zn.upf
Cu 63.55 Cu.upf
Ag 107.87 Ag.upf
CELL_PARAMETERS angstrom
2.853 0.000 0.000
0.000 2.853 0.000
0.000 0.000 10.870
ATOMIC_POSITIONS crystal
Zn 0.000 0.000 0.149
Zn 0.000 0.000 0.851
Zn 0.500 0.500 0.316
Zn 0.500 0.500 0.684
Cu 0.500 0.500 0.000
Ag 0.000 0.000 0.500
```

=====

[2]
A geometry-optimized PrY2Ga2Pt7 structure, computed with GGA-PBE. Values from VASP.

Energy of formation from the pure elements   -0.914 eV per atom
Symmetry   C2/m, No. 12
N(E_F)   3.5 states/eV per cell
DFT total energy   -6.418 eV per atom

```
&SYSTEM
  ibrav = 0, nat = 12, ntyp = 4
/
ATOMIC_SPECIES
Pr 140.91 Pr.upf
Y 88.91 Y.upf
Ga 69.72 Ga.upf
Pt 195.08 Pt.upf
CELL_PARAMETERS angstrom
2.913 -2.877 0.000
2.913 2.877 0.000
-2.399 0.000 14.026
ATOMIC_POSITIONS crystal
Pr 0.000 0.000 0.000
Y 0.131 0.131 0.359
Y 0.869 0.869 0.641
Ga 0.391 0.391 0.737
Ga 0.609 0.609 0.263
Pt 0.067 0.567 0.161
Pt 0.354 0.354 0.564
Pt 0.433 0.933 0.839
Pt 0.500 0.500 0.000
Pt 0.567 0.067 0.161
Pt 0.646 0.646 0.436
Pt 0.933 0.433 0.839
```

=====

[3]
A geometry-optimized KCdTc2 structure, computed with GGA-PBE. Values from VASP.

Energy of formation from the pure elements   0.456 eV per atom
Symmetry   Pm, No. 6
N(E_F)   3.6 states/eV per cell
DFT total energy   -5.230 eV per atom

```
&SYSTEM
  ibrav = 0, nat = 4, ntyp = 3
/
ATOMIC_SPECIES
K 39.10 K.upf
Cd 112.41 Cd.upf
Tc 98.00 Tc.upf
CELL_PARAMETERS angstrom
3.097 0.000 0.000
0.000 3.098 0.000
-0.011 0.000 9.121
ATOMIC_POSITIONS crystal
K 0.000 0.000 0.000
Cd 0.499 0.500 0.331
Tc 0.000 0.000 0.556
Tc 0.500 0.500 0.694
```

=====

[4]
A geometry-optimized GaSb2Au2 structure, computed with GGA-PBE. Values from VASP.

Symmetry   I4/mmm, No. 139
N(E_F)   3.6 states/eV per cell
DFT total energy   -3.431 eV per atom
Uncorrected formation energy   134 meV/atom

```
&SYSTEM
  ibrav = 0, nat = 5, ntyp = 3
/
ATOMIC_SPECIES
Ga 69.72 Ga.upf
Sb 121.76 Sb.upf
Au 196.97 Au.upf
CELL_PARAMETERS angstrom
-2.547 2.547 5.060
2.547 -2.547 5.060
2.547 2.547 -5.060
ATOMIC_POSITIONS crystal
Ga 0.000 0.000 0.000
Sb 0.250 0.750 0.500
Sb 0.750 0.250 0.500
Au 0.362 0.362 0.000
Au 0.638 0.638 0.000
```

=====

[5]
A geometry-optimized NpB2Ir2 structure, computed with GGA-PBE. Values from VASP.

Energy of formation from the pure elements   -0.355 eV per atom
Symmetry   I4/mmm, No. 139
N(E_F)   10.6 states/eV per cell
DFT total energy   -9.159 eV per atom

```
&SYSTEM
  ibrav = 0, nat = 5, ntyp = 3
/
ATOMIC_SPECIES
Np 237.00 Np.upf
B 10.81 B.upf
Ir 192.22 Ir.upf
CELL_PARAMETERS angstrom
-1.917 1.917 4.764
1.917 -1.917 4.764
1.917 1.917 -4.764
ATOMIC_POSITIONS crystal
Np 0.000 0.000 0.000
B 0.365 0.365 0.000
B 0.635 0.635 0.000
Ir 0.250 0.750 0.500
Ir 0.750 0.250 0.500
```

=====

[6]
A geometry-optimized ZnPt14Rh structure, computed with GGA-PBE. Values from VASP.

Energy of formation from the pure elements   -0.067 eV per atom
Symmetry   Amm2, No. 38
N(E_F)   27.9 states/eV per cell
DFT total energy   -5.892 eV per atom

```
&SYSTEM
  ibrav = 0, nat = 16, ntyp = 3
/
ATOMIC_SPECIES
Zn 65.41 Zn.upf
Pt 195.08 Pt.upf
Rh 102.91 Rh.upf
CELL_PARAMETERS angstrom
9.251 0.000 0.000
0.000 2.784 4.818
0.000 -2.784 4.818
ATOMIC_POSITIONS crystal
Zn 0.000 0.000 0.000
Pt 0.000 0.002 0.500
Pt 0.000 0.500 0.002
Pt 0.244 0.331 0.832
Pt 0.244 0.832 0.331
Pt 0.246 0.833 0.833
Pt 0.248 0.333 0.333
Pt 0.500 0.164 0.164
Pt 0.500 0.164 0.665
Pt 0.500 0.664 0.664
Pt 0.500 0.665 0.164
Pt 0.752 0.333 0.333
Pt 0.754 0.833 0.833
Pt 0.756 0.331 0.832
Pt 0.756 0.832 0.331
Rh 0.000 0.499 0.499
```

=====

[7]
A geometry-optimized AcEuDyIn structure, computed with GGA-PBE. Values from VASP.

Energy of formation from the pure elements   -0.037 eV per atom
Symmetry   F-43m, No. 216
N(E_F)   6.1 states/eV per cell
DFT total energy   -5.468 eV per atom

```
&SYSTEM
  ibrav = 0, nat = 4, ntyp = 4
/
ATOMIC_SPECIES
Ac 227.00 Ac.upf
Eu 151.96 Eu.upf
Dy 162.50 Dy.upf
In 114.82 In.upf
CELL_PARAMETERS angstrom
0.000 4.043 4.043
4.043 0.000 4.043
4.043 4.043 0.000
ATOMIC_POSITIONS crystal
Ac 0.000 0.000 0.000
Eu 0.250 0.250 0.250
Dy 0.750 0.750 0.750
In 0.500 0.500 0.500
```

=====

[8]
A geometry-optimized Ho2Ga3Pt structure, computed with GGA-PBE. Values from VASP.

Energy of formation from the pure elements   -0.871 eV per atom
Symmetry   Cm, No. 8
N(E_F)   2.7 states/eV per cell
DFT total energy   -4.917 eV per atom

```
&SYSTEM
  ibrav = 0, nat = 6, ntyp = 3
/
ATOMIC_SPECIES
Ho 164.93 Ho.upf
Ga 69.72 Ga.upf
Pt 195.08 Pt.upf
CELL_PARAMETERS angstrom
5.135 -2.214 0.000
5.135 2.214 0.000
-4.755 0.000 5.254
ATOMIC_POSITIONS crystal
Ho 0.000 0.000 0.000
Ho 0.086 0.086 0.595
Ga 0.380 0.380 0.190
Ga 0.385 0.385 0.596
Ga 0.709 0.709 0.395
Pt 0.711 0.711 0.004
```